(1)
ScTe2Ru PBE optimized geometry; space group = R-3m, No. 166; total magnetization = 0.0 μB per formula unit; energy above the most stable polymorph in this dataset = 0.455 eV/atom; ΔE_f (raw) = -0.01 eV per atom
1.0
2.134 0.000 8.936
-1.067 1.848 8.936
-1.067 -1.848 8.936
Te Sc Ru
2 1 1
direct
0.892 0.892 0.892 Te
0.108 0.108 0.108 Te
0.000 0.000 0.000 Sc
0.500 0.500 0.500 Ru

***

(2)
ScTeRu4 PBE optimized geometry; space group = F-43m, No. 216; total magnetization = 0.0 μB per formula unit; ΔE_f (raw) = 0.14 eV per atom
1.0
2.123 -4.782 0.102
-0.182 -2.851 4.385
-3.079 -4.225 0.248
Ru Sc Te
4 1 1
direct
0.876 0.375 0.375 Ru
0.375 0.876 0.375 Ru
0.375 0.375 0.375 Ru
0.375 0.375 0.876 Ru
0.750 0.750 0.750 Sc
0.000 0.000 0.000 Te